A geometry-optimized SmPu2Al structure. Source: Alexandria, functional PBE-GGA.

Calculated values
calculated volume: 25.356 Å³ per atom
M_tot: 11.8 Bohr magnetons per cell
formation enthalpy at 0 K: -1.361 kcal/mol of atoms
crystal system: tetragonal

Lattice parameters (Å, degrees): 4.493 4.493 5.024 90.00 90.00 90.00
Atoms (fractional coordinates):
Sm (0.000, 0.000, 0.000)
Pu (0.000, 0.500, 0.500)
Pu (0.500, 0.000, 0.500)
Al (0.500, 0.500, 0.000)